Entry 1:
! PBE-GGA Li2Mg2CdInAg2, optimized geometry; values from VASP
&SYSTEM
  ibrav = 0, nat = 8, ntyp = 5
/
ATOMIC_SPECIES
Ag 107.87 Ag.upf
Cd 112.41 Cd.upf
In 114.82 In.upf
Li 6.94 Li.upf
Mg 24.30 Mg.upf
CELL_PARAMETERS angstrom
-1.0128 -4.5355 0.6997
4.4203 -1.1567 -1.0994
1.7444 0.5957 6.3868
ATOMIC_POSITIONS crystal
Ag 0.0000 0.5000 0.2513
Ag 0.5000 0.0000 0.7487
Cd 0.0000 0.0000 0.0000
In 0.5000 0.5000 0.5000
Li 0.5000 0.0000 0.2478
Li 0.0000 0.5000 0.7522
Mg 0.5000 0.5000 0.0000
Mg 0.0000 0.0000 0.5000
! Space-group type: P-4m2
! Energy, eV per atom: -2.28

=====

Entry 2:
! PBE-GGA Zr2H3, optimized geometry; values from VASP
&SYSTEM
  ibrav = 0, nat = 10, ntyp = 2
/
ATOMIC_SPECIES
H 1.01 H.upf
Zr 91.22 Zr.upf
CELL_PARAMETERS angstrom
-2.9133 0.7791 -3.6687
-0.6948 -4.6772 -0.4416
-3.7072 0.2674 3.0007
ATOMIC_POSITIONS crystal
H 0.5000 0.0000 0.2500
H 0.0000 0.5000 0.2500
H 0.5000 0.5000 0.2500
H 0.5000 0.0000 0.7500
H 0.0000 0.5000 0.7500
H 0.5000 0.5000 0.7500
Zr 0.7607 0.2393 0.0000
Zr 0.2393 0.7607 0.0000
Zr 0.2393 0.2393 0.5000
Zr 0.7607 0.7607 0.5000
! Space-group type: P4_2/mcm
! Energy, eV per atom: -5.93